Material: GeBiPt
Method: DFT, PBE
State: optimized geometry

a b c (Å): 6.4600 6.4600 6.4600
angles (deg): 90.00 90.00 90.00
Fractional coordinates of all 12 atoms:
Bi1 0.3670 0.3670 0.3670
Bi2 0.6330 0.8670 0.1330
Ge1 0.8772 0.3772 0.1228
Bi3 0.1330 0.6330 0.8670
Ge2 0.6228 0.6228 0.6228
Pt1 0.5310 0.4690 0.9690
Pt2 0.4690 0.9690 0.5310
Ge3 0.3772 0.1228 0.8772
Pt3 0.0310 0.0310 0.0310
Ge4 0.1228 0.8772 0.3772
Bi4 0.8670 0.1330 0.6330
Pt4 0.9690 0.5310 0.4690

- M_tot: 0.000 μB/atom
- D(E_F): 0.56 states/eV per atom
- Total energy: -5.105 eV per atom
- Symmetry: No. 198
- Energy of formation from the pure elements: -25 kJ/mol of atoms
- Mass density: 11.7 g/cm3